1.
VASP calculation (PBE) on an optimized crystal structure of SmMg7Pb4.

a b c (Å): 6.893 6.893 10.916
angles (deg): 120.41 120.41 50.39
Element x y z (fractional)
Sm (0.000, 0.000, 0.000)
Mg (0.100, 0.100, 0.432)
Mg (0.307, 0.307, 0.089)
Mg (0.309, 0.309, 0.358)
Mg (0.500, 0.500, 0.000)
Mg (0.691, 0.691, 0.642)
Mg (0.693, 0.693, 0.911)
Mg (0.900, 0.900, 0.568)
Pb (0.194, 0.194, 0.771)
Pb (0.410, 0.410, 0.682)
Pb (0.590, 0.590, 0.318)
Pb (0.806, 0.806, 0.229)

Values from the calculation:
DOS at the Fermi energy, states/eV/atom: 0.584
Calculated formation energy, eV/atom: 0.0841
Symmetry: C2/m


2.
VASP calculation (PBE) on an optimized crystal structure of Sm2MgPb.

a b c (Å): 5.027 5.027 4.512
angles (deg): 90.00 90.00 90.00
Element x y z (fractional)
Sm (0.000, 0.500, 0.000)
Sm (0.500, 0.000, 0.000)
Mg (0.000, 0.000, 0.500)
Pb (0.500, 0.500, 0.500)

Values from the calculation:
DOS at the Fermi energy, states/eV/atom: 0.631
Calculated formation energy, eV/atom: -0.3462
Symmetry: P4/mmm


3.
VASP calculation (PBE) on an optimized crystal structure of Sm8MgPb6.

a b c (Å): 8.485 8.485 8.485
angles (deg): 67.59 67.59 67.59
Element x y z (fractional)
Sm (0.117, 0.697, 0.399)
Sm (0.168, 0.168, 0.168)
Sm (0.303, 0.601, 0.883)
Sm (0.399, 0.117, 0.697)
Sm (0.601, 0.883, 0.303)
Sm (0.697, 0.399, 0.117)
Sm (0.832, 0.832, 0.832)
Sm (0.883, 0.303, 0.601)
Mg (0.500, 0.500, 0.500)
Pb (0.059, 0.428, 0.789)
Pb (0.211, 0.941, 0.572)
Pb (0.428, 0.789, 0.059)
Pb (0.572, 0.211, 0.941)
Pb (0.789, 0.059, 0.428)
Pb (0.941, 0.572, 0.211)

Values from the calculation:
DOS at the Fermi energy, states/eV/atom: 0.408
Calculated formation energy, eV/atom: -0.3837
Symmetry: R-3


4.
VASP calculation (PBE) on an optimized crystal structure of SmMg2Pb3.

a b c (Å): 7.991 7.991 6.189
angles (deg): 90.00 90.00 77.11
Element x y z (fractional)
Sm (0.202, 0.798, 0.750)
Sm (0.798, 0.202, 0.250)
Mg (0.375, 0.375, 0.000)
Mg (0.375, 0.375, 0.500)
Mg (0.625, 0.625, 0.000)
Mg (0.625, 0.625, 0.500)
Pb (0.111, 0.224, 0.750)
Pb (0.224, 0.111, 0.250)
Pb (0.293, 0.707, 0.250)
Pb (0.707, 0.293, 0.750)
Pb (0.776, 0.889, 0.750)
Pb (0.889, 0.776, 0.250)

Values from the calculation:
DOS at the Fermi energy, states/eV/atom: 0.484
Calculated formation energy, eV/atom: -0.0177
Energy above the most stable polymorph in this dataset, eV per atom: 0.244
Symmetry: Cmcm


5.
VASP calculation (PBE) on an optimized crystal structure of Sm5Mg2Pb5.

a b c (Å): 7.611 7.611 12.528
angles (deg): 119.30 119.30 35.91
Element x y z (fractional)
Sm (0.000, 0.000, 0.000)
Sm (0.150, 0.150, 0.493)
Sm (0.158, 0.158, 0.796)
Sm (0.842, 0.842, 0.204)
Sm (0.850, 0.850, 0.507)
Mg (0.411, 0.411, 0.733)
Mg (0.589, 0.589, 0.267)
Pb (0.227, 0.227, 0.287)
Pb (0.377, 0.377, 0.051)
Pb (0.500, 0.500, 0.500)
Pb (0.623, 0.623, 0.949)
Pb (0.773, 0.773, 0.713)

Values from the calculation:
DOS at the Fermi energy, states/eV/atom: 0.705
Calculated formation energy, eV/atom: -0.3387
Symmetry: C2/m


6.
VASP calculation (PBE) on an optimized crystal structure of SmMgPb.

a b c (Å): 5.041 5.041 3.686
angles (deg): 90.00 90.00 120.00
Element x y z (fractional)
Sm (0.000, 0.000, 0.000)
Mg (0.333, 0.667, 0.500)
Pb (0.667, 0.333, 0.500)

Values from the calculation:
DOS at the Fermi energy, states/eV/atom: 0.420
Calculated formation energy, eV/atom: -0.3434
Symmetry: P-6m2


7.
VASP calculation (PBE) on an optimized crystal structure of SmMgPb.

a b c (Å): 4.519 4.519 16.270
angles (deg): 90.00 90.00 90.00
Element x y z (fractional)
Sm (0.000, 0.000, 0.163)
Sm (0.000, 0.000, 0.837)
Sm (0.500, 0.500, 0.337)
Sm (0.500, 0.500, 0.663)
Mg (0.000, 0.500, 0.000)
Mg (0.000, 0.500, 0.500)
Mg (0.500, 0.000, 0.000)
Mg (0.500, 0.000, 0.500)
Pb (0.000, 0.000, 0.363)
Pb (0.000, 0.000, 0.637)
Pb (0.500, 0.500, 0.137)
Pb (0.500, 0.500, 0.863)

Values from the calculation:
DOS at the Fermi energy, states/eV/atom: 0.308
Calculated formation energy, eV/atom: -0.4622
Symmetry: I4/mmm


8.
VASP calculation (PBE) on an optimized crystal structure of SmMg2Pb4.

a b c (Å): 8.168 10.315 4.873
angles (deg): 90.00 90.00 90.00
Element x y z (fractional)
Sm (0.000, 0.000, 0.000)
Sm (0.500, 0.500, 0.000)
Mg (0.000, 0.236, 0.500)
Mg (0.000, 0.764, 0.500)
Mg (0.500, 0.264, 0.500)
Mg (0.500, 0.736, 0.500)
Pb (0.210, 0.500, 0.500)
Pb (0.250, 0.250, 0.000)
Pb (0.250, 0.750, 0.000)
Pb (0.290, 0.000, 0.500)
Pb (0.710, 0.000, 0.500)
Pb (0.750, 0.250, 0.000)
Pb (0.750, 0.750, 0.000)
Pb (0.790, 0.500, 0.500)

Values from the calculation:
DOS at the Fermi energy, states/eV/atom: 0.508
Calculated formation energy, eV/atom: -0.1599
Symmetry: Cmmm


Number 4 is which compound?
SmMg2Pb3


The lowest DOS at the Fermi energy belongs to which entry?
number 7


Copy entry 4 word for word.
VASP calculation (PBE) on an optimized crystal structure of SmMg2Pb3.

a b c (Å): 7.991 7.991 6.189
angles (deg): 90.00 90.00 77.11
Element x y z (fractional)
Sm (0.202, 0.798, 0.750)
Sm (0.798, 0.202, 0.250)
Mg (0.375, 0.375, 0.000)
Mg (0.375, 0.375, 0.500)
Mg (0.625, 0.625, 0.000)
Mg (0.625, 0.625, 0.500)
Pb (0.111, 0.224, 0.750)
Pb (0.224, 0.111, 0.250)
Pb (0.293, 0.707, 0.250)
Pb (0.707, 0.293, 0.750)
Pb (0.776, 0.889, 0.750)
Pb (0.889, 0.776, 0.250)

Values from the calculation:
DOS at the Fermi energy, states/eV/atom: 0.484
Calculated formation energy, eV/atom: -0.0177
Energy above the most stable polymorph in this dataset, eV per atom: 0.244
Symmetry: Cmcm


Which of these has the highest DOS at the Fermi energy?
Sm5Mg2Pb5